Compound: MoW3O
Source: the Alexandria database
Functional: PBE+U
Structure: optimized geometry

Relative energy among the computed polymorphs ... 0.00 kJ per mole of atoms
Space-group type ... Pm-3m
Volume ... 80.8 Å³ per cell

The structure in POSCAR format:
```
MoW3O
1.0
4.323 0.000 0.000
0.000 4.323 0.000
0.000 0.000 4.323
Mo W O
1 3 1
Cartesian
0.000 0.000 0.000
0.000 2.162 2.162
2.162 0.000 2.162
2.162 2.162 0.000
2.162 2.162 2.162
```